ZrMoSe2: relaxed, GGA-PBE.

Cell and atoms, written as POSCAR:
```
ZrMoSe2
1.0
4.934 0.005 0.013
3.789 3.161 0.013
1.055 0.383 4.649
Mo Se Zr
1 2 1
direct
0.260 0.260 0.163
0.987 0.987 0.077
0.757 0.757 0.711
0.496 0.496 0.550
```

Values from the calculation:
VASP energy	-7.101	eV per atom
symmetry	Cm
excess energy over the best structure of this formula in the dataset	0.077	eV per atom
DOS at the Fermi energy	2.40	states/eV per cell